This record from Alexandria describes a relaxed structure of ZnB2Os2. The functional is GGA-PBE.

```
10
Lattice="-0.048 -3.745 5.220 5.919 -2.055 -1.420 1.070 2.055 1.484" Properties=species:S:1:pos:R:3 pbc="T T T"
Zn 0.000 0.000 0.000
Zn 2.935 -2.900 1.900
B 4.335 -0.830 0.576
B 5.576 -3.142 2.883
B 2.606 -2.914 4.708
B 1.365 -0.603 2.402
Os 5.035 -3.078 0.634
Os 3.785 -4.525 3.538
Os 0.836 -2.722 3.167
Os 2.086 -1.275 0.262
```

Values from the calculation:
- theoretical density (g/cm³) = 13.7
- calculated total energy (Ry per atom) = -0.52547
- formation enthalpy at 0 K (eV/atom) = 0.268
- density of states at the Fermi level (states/eV/f.u.) = 0.94